Entry 1:
DFT (PBE-GGA) results for crystalline BaTl4As2 at its relaxed geometry.

Values from the calculation:
**Formation energy from the elements**: -2.4 eV per formula unit
**N(E_F)**: 3.1 states/eV/f.u.
**Crystal system**: orthorhombic
**Symmetry**: Cmmm

a b c (Å): 10.2287 10.2287 4.6666
angles (deg): 90.00 90.00 153.35
Positions (direct):
Ba 0.0000 0.0000 0.0000
Tl 0.1713 0.8287 0.5000
Tl 0.3281 0.6719 0.0000
Tl 0.6719 0.3281 0.0000
Tl 0.8287 0.1713 0.5000
As 0.4365 0.5635 0.5000
As 0.5635 0.4365 0.5000

Entry 2:
DFT (PBE-GGA) results for crystalline BaTl2As at its relaxed geometry.

Values from the calculation:
**Formation energy from the elements**: -1.7 eV per formula unit
**N(E_F)**: 1.3 states/eV/f.u.
**Crystal system**: orthorhombic
**Symmetry**: Cmmm
**E above lowest polymorph**: 71.7 meV per atom

a b c (Å): 5.1171 5.1171 5.2443
angles (deg): 90.00 90.00 100.09
Positions (direct):
Ba 0.0000 0.0000 0.0000
Tl 0.2986 0.7014 0.5000
Tl 0.7014 0.2986 0.5000
As 0.5000 0.5000 0.0000

Entry 3:
DFT (PBE-GGA) results for crystalline Ba8Tl2As at its relaxed geometry.

Values from the calculation:
**Formation energy from the elements**: -3.5 eV per formula unit
**N(E_F)**: 12.8 states/eV/f.u.
**Crystal system**: monoclinic
**Symmetry**: C2/m

a b c (Å): 14.1717 14.1717 9.4651
angles (deg): 95.09 95.09 18.74
Positions (direct):
Ba 0.0434 0.0434 0.2219
Ba 0.2084 0.2084 0.1244
Ba 0.3199 0.3199 0.5237
Ba 0.4017 0.4017 0.1668
Ba 0.5983 0.5983 0.8332
Ba 0.6801 0.6801 0.4763
Ba 0.7916 0.7916 0.8756
Ba 0.9566 0.9566 0.7781
Tl 0.1951 0.1951 0.7517
Tl 0.8049 0.8049 0.2483
As 0.5000 0.5000 0.0000

Entry 4:
DFT (PBE-GGA) results for crystalline BaTl2As at its relaxed geometry.

Values from the calculation:
**Formation energy from the elements**: -1.2 eV per formula unit
**N(E_F)**: 2.9 states/eV/f.u.
**Crystal system**: trigonal
**Symmetry**: R-3m
**E above lowest polymorph**: 192.0 meV per atom

a b c (Å): 6.5211 6.5211 6.5211
angles (deg): 46.19 46.19 46.19
Positions (direct):
Ba 0.0000 0.0000 0.0000
Tl 0.2229 0.2229 0.2229
Tl 0.7771 0.7771 0.7771
As 0.5000 0.5000 0.5000

Entry 5:
DFT (PBE-GGA) results for crystalline BaTl2As at its relaxed geometry.

Values from the calculation:
**Formation energy from the elements**: -1.5 eV per formula unit
**N(E_F)**: 2.1 states/eV/f.u.
**Crystal system**: monoclinic
**Symmetry**: Cm
**E above lowest polymorph**: 117.9 meV per atom

a b c (Å): 5.6398 5.6398 6.1745
angles (deg): 110.95 110.95 47.27
Positions (direct):
Ba 0.0000 0.0000 0.0000
Tl 0.5386 0.5386 0.5298
Tl 0.7815 0.7815 0.3315
As 0.2705 0.2705 0.6643

Entry 6:
DFT (PBE-GGA) results for crystalline BaTlAs at its relaxed geometry.

Values from the calculation:
**Formation energy from the elements**: -1.4 eV per formula unit
**N(E_F)**: 0.8 states/eV/f.u.
**Crystal system**: orthorhombic
**Symmetry**: Fmm2
**E above lowest polymorph**: 241.5 meV per atom

a b c (Å): 6.6714 6.4719 4.0637
angles (deg): 74.69 69.33 35.98
Positions (direct):
Ba 0.0000 0.0000 0.0000
Tl 0.7079 0.7079 0.2921
As 0.3296 0.3296 0.6704

Entry 7:
DFT (PBE-GGA) results for crystalline BaTlAs at its relaxed geometry.

Values from the calculation:
**Formation energy from the elements**: -0.9 eV per formula unit
**Crystal system**: cubic
**Symmetry**: F-43m
**E above lowest polymorph**: 408.2 meV per atom

a b c (Å): 5.4446 5.4446 5.4446
angles (deg): 60.00 60.00 60.00
Positions (direct):
Ba 0.0000 0.0000 0.0000
Tl 0.7500 0.7500 0.7500
As 0.2500 0.2500 0.2500

Entry 8:
DFT (PBE-GGA) results for crystalline BaTl2As at its relaxed geometry.

Values from the calculation:
**Formation energy from the elements**: -1.5 eV per formula unit
**N(E_F)**: 1.8 states/eV/f.u.
**Crystal system**: tetragonal
**Symmetry**: I-42d
**E above lowest polymorph**: 112.4 meV per atom

a b c (Å): 7.1794 7.1794 7.1794
angles (deg): 102.33 102.33 124.96
Positions (direct):
Ba 0.0000 0.0000 0.0000
Ba 0.7500 0.2500 0.5000
Tl 0.1801 0.1250 0.5551
Tl 0.3750 0.8199 0.9449
Tl 0.5699 0.6250 0.4449
Tl 0.8750 0.4301 0.0551
As 0.2500 0.7500 0.5000
As 0.5000 0.5000 0.0000

Computed values of raw total energy (unit: eV/atom) for the preceding records, in sequence: -3.29 -3.25 -2.57 -3.13 -3.20 -3.44 -3.27 -3.21.
Computed values of total magnetization (unit: μB/f.u.) for the preceding records, in sequence: 0.00 0.00 0.64 0.00 0.00 0.00 0.00 0.00.